# 1
A relaxed LaTbPm2Y5 crystal. Source: Alexandria, functional PBE.

**E_form**: 243.7 meV/atom
**SG**: I4/mcm, No. 140
**Crystal system**: tetragonal

Unit cell a=8.801 b=8.801 c=9.971 alpha=116.19 beta=116.19 gamma=90.00
Atoms (fractional coordinates):
Y  0.843  0.928  0.271
Y  0.500  0.500  0.000
Y  0.428  0.343  0.271
Pm  0.384  0.884  0.000
Pm  0.116  0.384  0.000
Y  0.572  0.657  0.729
Pm  0.616  0.116  0.000
Tb  0.750  0.250  0.500
Y  0.000  0.000  0.000
Y  0.657  0.157  0.729
La  0.750  0.750  0.500
Pm  0.884  0.616  0.000
La  0.250  0.250  0.500
Y  0.928  0.428  0.271
Y  0.072  0.572  0.729
Y  0.157  0.072  0.729
Tb  0.250  0.750  0.500
Y  0.343  0.843  0.271


# 2
A relaxed V3SbC crystal. Source: Alexandria, functional PBE.

**SG**: Pm-3m, No. 221
**Formation energy without anion corrections**: 2.46 eV per atom
**Crystal system**: cubic

Unit cell a=5.041 b=5.041 c=5.041 alpha=90.00 beta=90.00 gamma=90.00
Atoms (fractional coordinates):
V  0.000  0.000  0.500
V  0.500  0.000  0.000
V  0.000  0.500  0.000
Sb  0.000  0.000  0.000
C  0.500  0.500  0.500


| no. | raw total energy (eV per atom) |
| --- | --- |
| 1 | -5.4651 |
| 2 | -5.6778 |